No. 1
An optimized crystal structure of PmPrSmTh. Source: Alexandria via LeMat-Bulk, functional PBE.

Geometry as POSCAR:
```
PmPrSmTh
1.0
3.623 0.000 0.000
0.000 3.623 0.000
0.000 0.000 10.419
Sm Th Pr Pm
1 1 1 1
direct
0.500 0.500 0.808
0.000 0.000 0.572
0.000 0.000 0.070
0.500 0.500 0.335
```

Its energy above the most stable polymorph in this dataset is 0 meV per atom. As for the space group: P4mm.



No. 2
An optimized crystal structure of Pm2PrSm5Th. Source: Alexandria via LeMat-Bulk, functional PBE.

Geometry as POSCAR:
```
Pm2PrSm5Th
1.0
5.748 0.000 0.000
-2.874 10.230 0.000
0.000 0.000 10.587
Th Sm Pr Pm
2 10 2 4
direct
0.200 0.400 0.014
0.800 0.600 0.514
0.388 0.776 0.025
0.478 0.957 0.739
0.276 0.551 0.317
0.016 0.032 0.023
0.296 0.592 0.707
0.522 0.043 0.239
0.984 0.968 0.523
0.704 0.408 0.207
0.612 0.224 0.525
0.724 0.449 0.817
0.411 0.822 0.448
0.589 0.178 0.948
0.885 0.769 0.821
0.884 0.768 0.230
0.116 0.232 0.730
0.115 0.231 0.321
```

The total energy comes out at -4.876 eV/atom. As for the space group: Cmc2_1.



No. 3
An optimized crystal structure of Pm2PrSm4Th. Source: Alexandria via LeMat-Bulk, functional PBE.

Geometry as POSCAR:
```
Pm2PrSm4Th
1.0
3.643 0.000 0.000
0.000 6.294 -0.054
0.000 2.242 11.856
Pm Sm Th Pr
2 4 1 1
direct
0.500 0.000 0.500
0.000 0.000 0.000
0.500 0.257 0.744
0.500 0.743 0.256
0.000 0.253 0.253
0.000 0.747 0.747
0.000 0.500 0.500
0.500 0.500 0.000
```

The total energy comes out at -5.044 eV/atom. As for the space group: P2/m.



No. 4
An optimized crystal structure of Pm2Pr4SmTh. Source: Alexandria via LeMat-Bulk, functional PBE.

Geometry as POSCAR:
```
Pm2Pr4SmTh
1.0
-1.421 1.172 3.172
2.143 -5.233 2.893
11.025 3.872 3.509
Pm Pr Th Sm
2 4 1 1
direct
0.500 0.000 0.500
0.000 0.000 0.000
0.000 0.253 0.252
0.500 0.744 0.254
0.500 0.256 0.746
0.000 0.747 0.748
0.000 0.500 0.500
0.500 0.500 0.000
```

The total energy comes out at -5.059 eV/atom. As for the space group: P2/m.



No. 5
An optimized crystal structure of Pm2PrSmTl4. Source: Alexandria via LeMat-Bulk, functional PBE.

Geometry as POSCAR:
```
Pm2PrSmTl4
1.0
-0.636 -4.862 -2.486
4.203 -2.264 -2.726
3.807 -6.558 5.774
Pm Tl Pr Sm
2 4 1 1
direct
0.750 0.750 0.751
0.250 0.250 0.249
0.626 0.626 0.123
0.374 0.374 0.877
0.876 0.876 0.372
0.124 0.124 0.628
0.500 0.500 0.500
0.000 0.000 0.000
```

The total energy comes out at -3.942 eV/atom. As for the space group: R-3m.



No. 6
An optimized crystal structure of Pm2Pr6Sm3Tl. Source: Alexandria via LeMat-Bulk, functional PBE.

Geometry as POSCAR:
```
Pm2Pr6Sm3Tl
1.0
6.314 -0.012 -0.001
-3.166 5.463 -0.001
-1.072 -1.856 11.853
Tl Pr Sm Pm
1 6 3 2
direct
0.000 0.000 0.000
0.408 0.082 0.248
0.918 0.592 0.752
0.592 0.918 0.752
0.082 0.408 0.248
0.243 0.243 0.751
0.757 0.757 0.249
0.832 0.168 0.500
0.168 0.832 0.500
0.500 0.500 0.500
0.666 0.334 0.000
0.334 0.666 0.000
```

The total energy comes out at -4.581 eV/atom. As for the space group: C2/m.



No. 7
An optimized crystal structure of Pm3Pr6Sm2Tl. Source: Alexandria via LeMat-Bulk, functional PBE.

Geometry as POSCAR:
```
Pm3Pr6Sm2Tl
1.0
-4.222 3.643 2.982
1.854 -5.477 2.560
9.615 6.234 3.710
Pm Pr Tl Sm
3 6 1 2
direct
0.169 0.831 0.500
0.831 0.169 0.500
0.500 0.500 0.500
0.593 0.919 0.754
0.756 0.756 0.248
0.244 0.244 0.752
0.919 0.593 0.754
0.407 0.081 0.246
0.081 0.407 0.246
0.000 0.000 0.000
0.666 0.334 0.000
0.334 0.666 0.000
```

The total energy comes out at -4.581 eV/atom. As for the space group: C2/m.



No. 8
An optimized crystal structure of PmPr2SmTl2. Source: Alexandria via LeMat-Bulk, functional PBE.

Geometry as POSCAR:
```
PmPr2SmTl2
1.0
-5.040 0.766 1.393
-1.946 -0.802 -6.599
-1.114 -10.174 1.564
Tl Sm Pm Pr
4 2 2 4
direct
0.500 0.216 0.368
0.500 0.716 0.632
0.000 0.298 0.858
0.000 0.798 0.142
0.000 0.463 0.542
0.000 0.963 0.458
0.500 0.190 0.682
0.500 0.690 0.318
0.500 0.556 0.957
0.500 0.056 0.043
0.000 0.323 0.185
0.000 0.823 0.815
```

The total energy comes out at -4.233 eV/atom. As for the space group: Pmc2_1.



No. 9
An optimized crystal structure of PmPrSm2Tl2. Source: Alexandria via LeMat-Bulk, functional PBE.

Geometry as POSCAR:
```
PmPrSm2Tl2
1.0
5.256 0.000 0.000
0.000 6.908 0.000
0.000 0.000 10.293
Tl Pr Pm Sm
4 2 2 4
direct
0.000 0.298 0.866
0.000 0.798 0.134
0.500 0.219 0.360
0.500 0.719 0.640
0.000 0.459 0.543
0.000 0.959 0.457
0.500 0.188 0.686
0.500 0.688 0.314
0.500 0.553 0.957
0.000 0.828 0.818
0.000 0.328 0.182
0.500 0.053 0.043
```

The total energy comes out at -4.223 eV/atom. As for the space group: Pmc2_1.



No. 10
An optimized crystal structure of PmPr3Sm2Tm6. Source: Alexandria via LeMat-Bulk, functional PBE.

Geometry as POSCAR:
```
PmPr3Sm2Tm6
1.0
-4.162 4.554 -0.807
1.205 -2.134 5.719
9.358 7.055 -0.466
Tm Pr Sm Pm
6 3 2 1
direct
0.584 0.917 0.752
0.251 0.251 0.752
0.917 0.584 0.752
0.749 0.749 0.248
0.416 0.083 0.248
0.083 0.416 0.248
0.833 0.167 0.500
0.500 0.500 0.500
0.167 0.833 0.500
0.667 0.333 0.000
0.333 0.667 0.000
0.000 0.000 0.000
```

The total energy comes out at -4.595 eV/atom. As for the space group: C2/m.



No. 11
An optimized crystal structure of Pm2PrSmTm5. Source: Alexandria via LeMat-Bulk, functional PBE.

Geometry as POSCAR:
```
Pm2PrSmTm5
1.0
8.711 0.000 0.000
0.000 8.711 0.000
-4.356 -4.356 7.663
Pm Tm Sm Pr
4 10 2 2
direct
0.384 0.884 0.000
0.116 0.384 0.000
0.616 0.116 0.000
0.884 0.616 0.000
0.500 0.500 0.000
0.927 0.427 0.272
0.573 0.655 0.728
0.427 0.345 0.272
0.845 0.927 0.272
0.073 0.573 0.728
0.345 0.845 0.272
0.655 0.155 0.728
0.000 0.000 0.000
0.155 0.073 0.728
0.250 0.750 0.500
0.750 0.250 0.500
0.750 0.750 0.500
0.250 0.250 0.500
```

The total energy comes out at -4.341 eV/atom. As for the space group: I4/mcm.



No. 12
An optimized crystal structure of PmPrSm4Tm2. Source: Alexandria via LeMat-Bulk, functional PBE.

Geometry as POSCAR:
```
PmPrSm4Tm2
1.0
9.402 -0.008 -1.772
-0.014 9.402 -1.772
-5.956 -5.960 8.397
Pm Tm Pr Sm
2 4 2 8
direct
0.000 0.000 0.000
0.500 0.500 0.500
0.000 0.000 0.500
0.500 0.500 0.000
0.500 0.000 0.000
0.500 0.000 0.500
0.000 0.500 0.500
0.000 0.500 0.000
0.744 0.255 0.002
0.729 0.736 0.986
0.256 0.745 0.998
0.764 0.771 0.514
0.245 0.756 0.498
0.271 0.264 0.014
0.755 0.244 0.502
0.236 0.229 0.486
```

The total energy comes out at -4.270 eV/atom. As for the space group: C2/c.